Record 1
Density functional theory data (GGA-PBE) for an optimized crystal structure of CsBeRe2Os.

```
CsBeRe2Os
1.0
4.849 0.000 0.000
0.000 4.849 0.000
0.000 0.000 4.690
Cs Be Re Os
1 1 2 1
Cartesian
0.000 0.000 0.000
2.424 2.424 0.000
0.000 2.424 2.345
2.424 0.000 2.345
2.424 2.424 2.345
```

crystal system: tetragonal
M_tot: 0.640 μB per atom
space-group type: No. 123
energy of formation: 1.8083 eV per atom



Record 2
Density functional theory data (GGA-PBE) for an optimized crystal structure of CsBeSn2Os.

```
CsBeSn2Os
1.0
6.095 0.000 0.000
0.000 6.095 0.000
0.000 0.000 5.140
Cs Be Sn Os
1 1 2 1
Cartesian
0.000 0.000 0.000
3.048 3.048 2.570
0.000 3.048 0.000
3.048 0.000 0.000
0.000 0.000 2.570
```

crystal system: tetragonal
M_tot: 0.214 μB per atom
space-group type: No. 123
energy of formation: 2.7798 eV per atom



Record 3
Density functional theory data (GGA-PBE) for an optimized crystal structure of CsBe2OsW.

```
CsBe2OsW
1.0
4.381 0.000 0.000
0.000 4.381 0.000
0.000 0.000 5.077
Cs Be Os W
1 2 1 1
Cartesian
0.000 0.000 0.000
0.000 2.191 0.000
2.191 0.000 0.000
0.000 0.000 2.539
2.191 2.191 2.539
```

crystal system: tetragonal
M_tot: 0.000 μB per atom
space-group type: No. 123
energy of formation: 3.4768 eV per atom



Record 4
Density functional theory data (GGA-PBE) for an optimized crystal structure of CsBeOsW2.

```
CsBeOsW2
1.0
4.948 0.000 0.000
0.000 4.948 0.000
0.000 0.000 4.220
Cs Be Os W
1 1 1 2
Cartesian
0.000 0.000 0.000
0.000 0.000 2.110
2.474 2.474 2.110
0.000 2.474 0.000
2.474 0.000 0.000
```

crystal system: tetragonal
M_tot: 0.248 μB per atom
space-group type: No. 123
energy of formation: 4.0434 eV per atom